No. 1
VASP calculation (GGA-PBE) on Ce3Pr2TmS6 after structural relaxation.

- Energy relative to the elements, uncorrected: -2.02 eV per atom
- DOS(E_F): 1.399 states/eV/atom
- Space-group type: C2/m, No. 12

a b c (Å): 6.974 6.974 6.974
angles (deg): 99.61 99.61 120.01
Site moments in Bohr magnetons follow the coordinates.
Atoms (fractional coordinates):
S 0.236 0.236 0.749  -0.01
S 0.402 0.082 0.246  -0.01
Pr 0.666 0.334 0.000  0.00
S 0.598 0.918 0.754  -0.01
S 0.764 0.764 0.251  -0.01
Ce 0.829 0.171 0.500  0.72
Ce 0.500 0.500 0.500  0.72
S 0.082 0.402 0.246  -0.01
Pr 0.334 0.666 0.000  0.00
S 0.918 0.598 0.754  -0.01
Tm 0.000 0.000 0.000  0.01
Ce 0.171 0.829 0.500  0.72

---

No. 2
VASP calculation (GGA-PBE) on CePrTm2S4 after structural relaxation.

- Energy relative to the elements, uncorrected: -2.00 eV per atom
- DOS(E_F): 0.916 states/eV/atom
- Space-group type: P2/m, No. 10

a b c (Å): 3.899 6.776 6.995
angles (deg): 108.73 90.00 90.00
Site moments in Bohr magnetons follow the coordinates.
Atoms (fractional coordinates):
S 0.500 0.740 0.728  0.00
S 0.000 0.754 0.270  -0.01
Pr 0.000 0.000 0.000  0.01
S 0.000 0.246 0.730  -0.01
Tm 0.000 0.500 0.500  0.01
Ce 0.500 0.500 0.000  0.67
Tm 0.500 0.000 0.500  -0.01
S 0.500 0.260 0.272  0.00

---

No. 3
VASP calculation (GGA-PBE) on Ce2PrTmS5 after structural relaxation.

- Energy relative to the elements, uncorrected: -1.54 eV per atom
- DOS(E_F): 1.994 states/eV/atom
- Space-group type: P4/mmm, No. 123

a b c (Å): 4.841 4.841 10.552
angles (deg): 90.00 90.00 90.00
Site moments in Bohr magnetons follow the coordinates.
Atoms (fractional coordinates):
S 0.000 0.000 0.252  -0.01
Ce 0.500 0.500 0.693  1.32
S 0.500 0.000 0.500  -0.02
S 0.500 0.500 0.000  -0.01
S 0.000 0.000 0.748  -0.01
Tm 0.000 0.000 0.500  0.10
S 0.000 0.500 0.500  -0.02
Ce 0.500 0.500 0.307  1.32
Pr 0.000 0.000 0.000  0.03

---

No. 4
VASP calculation (GGA-PBE) on Ce3Pr4TmS8 after structural relaxation.

- Energy relative to the elements, uncorrected: -2.02 eV per atom
- DOS(E_F): 1.153 states/eV/atom
- Space-group type: R-3m, No. 166

a b c (Å): 8.089 8.086 8.090
angles (deg): 120.02 120.00 90.00
Site moments in Bohr magnetons follow the coordinates.
Atoms (fractional coordinates):
Ce 0.500 0.500 0.500  0.58
S 0.252 0.256 0.504  -0.01
Ce 0.000 0.500 0.500  0.58
S 0.758 0.263 0.005  -0.01
Pr 0.500 0.000 0.500  0.00
Pr 0.500 0.000 0.000  0.02
Ce 0.500 0.500 0.000  0.58
S 0.246 0.263 0.005  -0.01
S 0.242 0.737 0.483  -0.01
Pr 0.000 0.000 0.500  0.00
S 0.748 0.744 0.496  -0.01
Pr 0.000 0.000 0.000  0.00
S 0.754 0.737 0.995  -0.01
S 0.758 0.263 0.517  -0.01
S 0.242 0.737 0.995  -0.01
Tm 0.000 0.500 0.000  0.02

---

No. 5
VASP calculation (GGA-PBE) on CePr2US8 after structural relaxation.

- Energy relative to the elements, uncorrected: -1.56 eV per atom
- Space-group type: P-1, No. 2

a b c (Å): 5.811 6.494 8.536
angles (deg): 89.55 89.54 95.02
Atoms (fractional coordinates):
S 0.859 0.200 0.234
S 0.380 0.249 0.469
S 0.087 0.750 0.234
S 0.620 0.751 0.531
Pr 0.410 0.452 0.750
S 0.634 0.767 0.966
S 0.366 0.233 0.034
Ce 0.000 0.000 0.500
U 0.000 0.000 0.000
S 0.913 0.250 0.766
S 0.141 0.800 0.766
Pr 0.590 0.548 0.250

---

No. 6
VASP calculation (GGA-PBE) on Ce2PrY3S6 after structural relaxation.

- Energy relative to the elements, uncorrected: -2.03 eV per atom
- DOS(E_F): 1.055 states/eV/atom
- Space-group type: C2/m, No. 12

a b c (Å): 6.869 6.869 6.967
angles (deg): 99.47 99.47 120.04
Site moments in Bohr magnetons follow the coordinates.
Atoms (fractional coordinates):
Y 0.163 0.837 0.500  0.00
S 0.088 0.425 0.264  -0.01
S 0.912 0.575 0.736  -0.01
Ce 0.333 0.667 0.000  0.67
S 0.575 0.912 0.736  -0.01
Pr 0.000 0.000 0.000  0.02
Y 0.500 0.500 0.500  0.00
Ce 0.667 0.333 0.000  0.67
Y 0.837 0.163 0.500  0.00
S 0.250 0.250 0.739  -0.01
S 0.750 0.750 0.261  -0.01
S 0.425 0.088 0.264  -0.01

---

No. 7
VASP calculation (GGA-PBE) on Ce3PrY2S6 after structural relaxation.

- Energy relative to the elements, uncorrected: -2.03 eV per atom
- DOS(E_F): 1.393 states/eV/atom
- Space-group type: C2/m, No. 12

a b c (Å): 6.929 6.929 6.959
angles (deg): 99.57 99.57 120.03
Site moments in Bohr magnetons follow the coordinates.
Atoms (fractional coordinates):
Y 0.333 0.667 0.000  0.00
S 0.425 0.082 0.246  -0.01
Y 0.667 0.333 0.000  0.00
Ce 0.500 0.500 0.500  0.72
S 0.575 0.918 0.754  -0.01
Ce 0.163 0.837 0.500  0.71
Ce 0.837 0.163 0.500  0.71
S 0.738 0.738 0.242  -0.01
S 0.262 0.262 0.758  -0.01
S 0.918 0.575 0.754  -0.01
Pr 0.000 0.000 0.000  -0.01
S 0.082 0.425 0.246  -0.01

---

No. 8
VASP calculation (GGA-PBE) on CePr2YS4 after structural relaxation.

- Energy relative to the elements, uncorrected: -2.03 eV per atom
- DOS(E_F): 0.940 states/eV/atom
- Space-group type: P2/m, No. 10

a b c (Å): 4.019 7.007 7.008
angles (deg): 109.21 90.00 90.00
Site moments in Bohr magnetons follow the coordinates.
Atoms (fractional coordinates):
Y 0.000 0.000 0.000  0.01
Ce 0.500 0.500 0.000  0.57
S 0.500 0.241 0.236  0.00
S 0.000 0.751 0.239  -0.01
S 0.000 0.249 0.761  -0.01
S 0.500 0.759 0.764  0.00
Pr 0.000 0.500 0.500  0.01
Pr 0.500 0.000 0.500  0.00